1.
First-principles (PBE-GGA) data for a relaxed structure of Tl3GeOs, as listed in Alexandria.

Structure (POSCAR):
```
Tl3GeOs
1.0
-4.208 -3.113 -1.212
2.026 -3.927 3.056
-2.657 1.936 4.249
Tl Os Ge
3 1 1
Cartesian
1.013 -1.964 1.528
-1.328 0.968 2.125
-2.104 -1.557 -0.606
-2.419 -2.552 3.047
0.000 0.000 0.000
```

Results
Energy relative to the elements in meV per atom: 1500
Total magnetization in μB per formula unit: 2.4



2.
First-principles (PBE-GGA) data for a relaxed structure of ScBiTe3, as listed in Alexandria.

Structure (POSCAR):
```
ScBiTe3
1.0
-0.673 -0.130 -4.274
2.407 -7.736 -0.144
-12.067 1.308 1.861
Sc Bi Te
2 2 6
Cartesian
-1.710 -1.177 -0.791
-8.623 -5.381 -1.766
-7.932 -0.372 0.165
-2.401 -6.186 -2.722
-10.879 0.361 0.607
0.546 -6.919 -3.163
-4.693 -0.502 -0.341
-5.640 -6.056 -2.215
-7.828 -3.507 0.244
-2.505 -3.052 -2.801
```

Results
Total magnetization in μB per formula unit: 0.0
Formation energy (no corrections) in kJ/mol of atoms: -56.12



The highest total magnetization belongs to which entry? Tl3GeOs



Which formula does entry 2 have? ScBiTe3



Among the records above, which one has the highest total magnetization? Tl3GeOs